VASP calculation (PBE-GGA) on an optimized crystal structure of FeHg2Cl2.

Lattice parameters (Å, degrees): 6.4295 6.4295 7.3471 90.00 90.00 90.00
Last column: magnetic moment on the atom in μB.
Fractional coordinates of all 10 atoms:
Cl (0.6843, 0.1843, 0.0000)  0.12
Hg (0.7483, 0.7517, 0.5000)  0.00
Cl (0.8157, 0.6843, 0.0000)  0.12
Cl (0.3157, 0.8157, 0.0000)  0.12
Hg (0.7517, 0.2517, 0.5000)  0.00
Cl (0.1843, 0.3157, 0.0000)  0.12
Fe (0.0000, 0.0000, 0.0000)  3.40
Hg (0.2517, 0.2483, 0.5000)  0.00
Fe (0.5000, 0.5000, 0.0000)  3.40
Hg (0.2483, 0.7483, 0.5000)  0.00

Values from the calculation:
Relative energy among the computed polymorphs = 0.0000 eV/atom
DFT total energy = -2.79 eV per atom
E_form (uncorrected) = -235 meV per atom